Material: LaFeN2O
Method: DFT, GGA+U
State: relaxed

Results
The calculation puts the density of states at the Fermi level at 3.57 states/eV per cell. Its raw total energy is -5.767 eV per atom. The value obtained for the spin magnetization is 3.888 μB per formula unit.

a = 4.3580 Å, b = 4.3580 Å, c = 4.4093 Å
α = 90.00°, β = 90.00°, γ = 90.00°
Site moments in Bohr magnetons follow the coordinates.
Positions (direct):
O  0.0000  0.0000  0.5000  -0.04
N  0.5000  0.0000  0.0000  -0.01
N  0.0000  0.5000  0.0000  -0.01
La  0.0000  0.0000  0.0000  0.00
Fe  0.5000  0.5000  0.5000  3.81